Entry 1:
Compound: HfCu2Se
Source: Alexandria via LeMat-Bulk
Functional: GGA-PBE
Structure: optimized geometry

Unit cell a=5.757 b=5.757 c=5.757 alpha=101.58 beta=101.58 gamma=126.76
Element x y z (fractional)
Hf 0.000 0.000 0.000
Hf 0.750 0.250 0.500
Cu 0.152 0.625 0.027
Cu 0.375 0.402 0.527
Cu 0.598 0.125 0.973
Cu 0.875 0.848 0.473
Se 0.250 0.750 0.500
Se 0.500 0.500 0.000

Results
electronic total energy	-5.558	eV per atom

Entry 2:
Compound: HfCu3Se4
Source: Alexandria via LeMat-Bulk
Functional: GGA-PBE
Structure: optimized geometry

Unit cell a=7.000 b=7.000 c=7.000 alpha=132.30 beta=132.30 gamma=69.76
Element x y z (fractional)
Hf 0.000 0.000 0.000
Cu 0.250 0.750 0.500
Cu 0.500 0.500 0.000
Cu 0.750 0.250 0.500
Se 0.129 0.129 0.517
Se 0.388 0.871 0.000
Se 0.612 0.612 0.483
Se 0.871 0.388 0.000

Results
electronic total energy	-5.002	eV per atom

Entry 3:
Compound: Hf3CuSe
Source: Alexandria via LeMat-Bulk
Functional: GGA-PBE
Structure: optimized geometry

Unit cell a=4.882 b=4.882 c=4.882 alpha=90.00 beta=90.00 gamma=90.00
Element x y z (fractional)
Hf 0.000 0.000 0.500
Hf 0.000 0.500 0.000
Hf 0.500 0.000 0.000
Cu 0.500 0.500 0.500
Se 0.000 0.000 0.000

Results
distance to the lowest polymorph of the same formula	0	meV/atom

Entry 4:
Compound: HfCu3Se
Source: Alexandria via LeMat-Bulk
Functional: GGA-PBE
Structure: optimized geometry

Unit cell a=4.509 b=4.509 c=4.509 alpha=90.00 beta=90.00 gamma=90.00
Element x y z (fractional)
Hf 0.000 0.000 0.000
Cu 0.000 0.500 0.500
Cu 0.500 0.000 0.500
Cu 0.500 0.500 0.000
Se 0.500 0.500 0.500

Results
distance to the lowest polymorph of the same formula	0	meV/atom

Entry 5:
Compound: HfTl2CuSe4
Source: Alexandria via LeMat-Bulk
Functional: GGA-PBE
Structure: optimized geometry

Unit cell a=7.097 b=3.789 c=8.184 alpha=90.00 beta=109.61 gamma=90.00
Element x y z (fractional)
Hf 0.000 0.000 0.000
Tl 0.000 0.500 0.500
Tl 0.500 0.000 0.500
Cu 0.500 0.500 0.000
Se 0.208 0.500 0.211
Se 0.287 0.000 0.837
Se 0.713 0.000 0.163
Se 0.792 0.500 0.789

Results
electronic total energy	-4.718	eV per atom

Entry 6:
Compound: HfTl2Cu2Se4
Source: Alexandria via LeMat-Bulk
Functional: GGA-PBE
Structure: optimized geometry

Unit cell a=7.481 b=7.481 c=8.047 alpha=108.09 beta=108.09 gamma=30.47
Element x y z (fractional)
Hf 0.000 0.000 0.000
Tl 0.140 0.140 0.582
Tl 0.860 0.860 0.418
Cu 0.317 0.317 0.013
Cu 0.683 0.683 0.987
Se 0.194 0.194 0.182
Se 0.483 0.483 0.222
Se 0.517 0.517 0.778
Se 0.806 0.806 0.818

Results
electronic total energy	-4.746	eV per atom